Computed, not measured: a relaxed RbBSeN2 crystal at the GGA-PBE level of DFT.

The space group is P4/mmm (No. 123) and the conventional cell measures 4.162, 4.162 and 4.435 Å, with angles of 90.00, 90.00 and 90.00 degrees. Symmetry generates all atoms from Rb at (0.000, 0.000, 0.000), B at (0.500, 0.500, 0.500), Se at (0.500, 0.500, 0.000) and N at (0.000, 0.500, 0.500).

For the formation energy (no corrections), the calculation gives 39.42 kcal/mol of atoms. The density of states at the Fermi level comes out at 0.778 states/eV/atom. As for the final energy: -19.23 eV/cell. The value obtained for the density is 4.393 Mg/m³.